Density functional theory data (PBE) for crystalline B5C7 at its relaxed geometry.

abc: 6.062 6.062 5.393
angles: 103.25 103.25 24.71
Element x y z (fractional)
B: 0.000 0.000 0.000
B: 0.015 0.015 0.495
B: 0.399 0.399 0.442
B: 0.640 0.640 0.867
B: 0.765 0.765 0.571
C: 0.077 0.077 0.788
C: 0.088 0.088 0.284
C: 0.323 0.323 0.143
C: 0.330 0.330 0.673
C: 0.399 0.399 0.946
C: 0.664 0.664 0.311
C: 0.748 0.748 0.118

Computed properties:
Excess energy over the best structure of this formula in the dataset   59 meV/atom
Crystal system   monoclinic